# 1
Computed, not measured: a geometry-optimized Nd5Sm3Tm structure at the PBE level of DFT.

Lattice parameters (Å, degrees): 10.6622 10.6622 11.8132 121.37 121.37 34.45
Fractional coordinates of all 18 atoms:
Nd  0.0349  0.6903  0.3453
Nd  0.0822  0.9178  0.7500
Nd  0.1373  0.5044  0.6685
Nd  0.3097  0.9651  0.1547
Nd  0.4956  0.8627  0.8315
Nd  0.5044  0.1373  0.1685
Nd  0.6903  0.0349  0.8453
Nd  0.8627  0.4956  0.3315
Nd  0.9178  0.0822  0.2500
Nd  0.9651  0.3097  0.6547
Sm  0.0999  0.5470  0.9739
Sm  0.4530  0.9001  0.5261
Sm  0.5000  0.5000  0.0000
Sm  0.5000  0.5000  0.5000
Sm  0.5470  0.0999  0.4739
Sm  0.9001  0.4530  0.0261
Tm  0.4079  0.5921  0.2500
Tm  0.5921  0.4079  0.7500

Calculated values
As for the space group: No. 15. The value obtained for the magnetization is 0.00 Bohr magnetons per cell. The value obtained for the electronic total energy is -4.458 eV/atom.

# 2
Computed, not measured: a geometry-optimized PmNbGa2 structure at the PBE level of DFT.

Lattice parameters (Å, degrees): 3.5710 3.5710 6.3679 90.00 90.00 90.00
Fractional coordinates of all 4 atoms:
Pm  0.0000  0.0000  0.0000
Nb  0.0000  0.0000  0.5000
Ga  0.5000  0.5000  0.2994
Ga  0.5000  0.5000  0.7006

Calculated values
As for the space group: No. 123. The value obtained for the magnetization is 0.00 Bohr magnetons per cell. The value obtained for the electronic total energy is -5.551 eV/atom.

# 3
Computed, not measured: a geometry-optimized La6Pd3Rh structure at the PBE level of DFT.

Lattice parameters (Å, degrees): 7.0458 7.8247 12.9563 90.00 122.34 90.00
Fractional coordinates of all 20 atoms:
La  0.0881  0.0520  0.2455
La  0.0881  0.4480  0.7455
La  0.2446  0.6824  0.0804
La  0.2446  0.8176  0.5804
La  0.4020  0.1747  0.0772
La  0.4020  0.3253  0.5772
La  0.5980  0.6747  0.4228
La  0.5980  0.8253  0.9228
La  0.7554  0.1824  0.4196
La  0.7554  0.3176  0.9196
La  0.9119  0.5520  0.2545
La  0.9119  0.9480  0.7545
Pd  0.3081  0.1140  0.7536
Pd  0.3081  0.3860  0.2536
Pd  0.5000  0.0000  0.5000
Pd  0.5000  0.5000  0.0000
Pd  0.6919  0.6140  0.7464
Pd  0.6919  0.8860  0.2464
Rh  0.0000  0.0000  0.0000
Rh  0.0000  0.5000  0.5000

Calculated values
As for the space group: No. 14. The value obtained for the magnetization is 0.00 Bohr magnetons per cell. The value obtained for the electronic total energy is -5.877 eV/atom.